# 1
{
  "formula": "Sm4CdCuHg2",
  "functional": "PBE",
  "state": "relaxed",
  "lattice": [[2.652, 1.531, 8.615], [-2.652, 1.531, 8.615], [0.000, -3.062, 8.615]],
  "species": ["Sm", "Sm", "Sm", "Sm", "Cd", "Cu", "Hg", "Hg"],
  "fractional_positions": [[0.118, 0.118, 0.118], [0.369, 0.369, 0.369], [0.631, 0.631, 0.631], [0.882, 0.882, 0.882], [0.500, 0.500, 0.500], [0.000, 0.000, 0.000], [0.243, 0.243, 0.243], [0.757, 0.757, 0.757]],
  "crystal_system": "trigonal",
  "magnetic_moment_mub_per_cell": 0.61,
  "dos_ef_per_ev_fu": 8.1,
  "formation_energy_ev_per_atom": -0.35,
  "density_g_cm3": 9.3,
  "e_tot_ev_per_atom": -3.410
}

---

# 2
{
  "formula": "MnCrW2",
  "functional": "PBE",
  "state": "relaxed",
  "lattice": [[1.544, -2.177, 0.000], [1.544, 2.177, 0.000], [0.000, 0.000, 8.351]],
  "species": ["Mn", "Cr", "W", "W"],
  "fractional_positions": [[0.000, 0.000, 0.000], [0.000, 0.000, 0.500], [0.500, 0.500, 0.248], [0.500, 0.500, 0.752]],
  "crystal_system": "orthorhombic",
  "magnetic_moment_mub_per_cell": 1.42,
  "dos_ef_per_ev_fu": 2.6,
  "formation_energy_ev_per_atom": 0.11,
  "density_g_cm3": 14.0,
  "e_tot_ev_per_atom": -11.061
}